Record 1
{"formula": "Pm3InRh", "functional": "PBE-GGA", "state": "relaxed", "lattice_angstrom": [[6.906, 0.000, 0.000], [0.000, 9.856, -0.400], [0.000, -4.262, 8.288]], "species": ["Pm", "Pm", "Pm", "Pm", "Pm", "Pm", "Pm", "Pm", "Pm", "Pm", "Pm", "Pm", "In", "In", "In", "In", "Rh", "Rh", "Rh", "Rh"], "frac_coords": [[0.000, 0.695, 0.898], [0.000, 0.305, 0.102], [0.500, 0.805, 0.102], [0.500, 0.195, 0.898], [0.500, 0.435, 0.736], [0.500, 0.565, 0.264], [0.000, 0.065, 0.264], [0.000, 0.935, 0.736], [0.000, 0.301, 0.701], [0.000, 0.699, 0.299], [0.500, 0.199, 0.299], [0.500, 0.801, 0.701], [0.797, 0.500, 0.500], [0.203, 0.500, 0.500], [0.297, 0.000, 0.500], [0.703, 0.000, 0.500], [0.231, 0.500, 0.000], [0.769, 0.500, 0.000], [0.731, 0.000, 0.000], [0.269, 0.000, 0.000]], "total_magnetization_mub_per_cell": 0.000, "formation_energy_ev_per_fu": -2.44, "n_ef_per_ev_cell": 17.332}

---

Record 2
{"formula": "PmIn9Rh2", "functional": "PBE-GGA", "state": "relaxed", "lattice_angstrom": [[6.621, 0.000, 3.048], [3.311, 8.731, 1.524], [-0.341, 0.000, 9.455]], "species": ["Pm", "Pm", "In", "In", "In", "In", "In", "In", "In", "In", "In", "In", "In", "In", "In", "In", "In", "In", "In", "In", "Rh", "Rh", "Rh", "Rh"], "frac_coords": [[0.500, 0.000, 0.000], [0.250, 0.500, 0.500], [0.750, 0.500, 0.500], [0.000, 0.000, 0.000], [0.981, 0.936, 0.696], [0.613, 0.064, 0.304], [0.667, 0.196, 0.564], [0.427, 0.804, 0.436], [0.769, 0.804, 0.564], [0.137, 0.196, 0.436], [0.083, 0.936, 0.304], [0.323, 0.064, 0.696], [0.769, 0.564, 0.804], [0.137, 0.436, 0.196], [0.083, 0.304, 0.936], [0.323, 0.696, 0.064], [0.981, 0.696, 0.936], [0.613, 0.304, 0.064], [0.667, 0.564, 0.196], [0.427, 0.436, 0.804], [0.875, 0.250, 0.750], [0.875, 0.750, 0.250], [0.875, 0.250, 0.250], [0.375, 0.750, 0.750]], "total_magnetization_mub_per_cell": 0.000, "formation_energy_ev_per_fu": -1.84, "n_ef_per_ev_cell": 12.160}

---

Record 3
{"formula": "Pm2In3Rh", "functional": "PBE-GGA", "state": "relaxed", "lattice_angstrom": [[3.746, 0.000, 0.000], [0.000, 4.856, 0.000], [0.000, 0.000, 8.392]], "species": ["Pm", "Pm", "In", "In", "In", "Rh"], "frac_coords": [[0.000, 0.500, 0.045], [0.000, 0.000, 0.477], [0.500, 0.000, 0.833], [0.500, 0.000, 0.174], [0.500, 0.500, 0.650], [0.500, 0.500, 0.323]], "total_magnetization_mub_per_cell": 0.000, "formation_energy_ev_per_fu": -3.16, "n_ef_per_ev_cell": 3.194}

---

Record 4
{"formula": "Pm3In7Rh4", "functional": "PBE-GGA", "state": "relaxed", "lattice_angstrom": [[4.351, 0.000, 1.098], [1.566, 7.847, 2.964], [-0.006, 0.124, 9.196]], "species": ["Pm", "Pm", "Pm", "In", "In", "In", "In", "In", "In", "In", "Rh", "Rh", "Rh", "Rh"], "frac_coords": [[0.307, 0.182, 0.204], [0.693, 0.818, 0.796], [0.000, 0.500, 0.500], [0.315, 0.842, 0.527], [0.494, 0.228, 0.785], [0.838, 0.396, 0.928], [0.685, 0.158, 0.473], [0.162, 0.604, 0.072], [0.000, 0.000, 0.000], [0.506, 0.772, 0.215], [0.667, 0.444, 0.223], [0.333, 0.556, 0.777], [0.887, 0.893, 0.333], [0.113, 0.107, 0.667]], "total_magnetization_mub_per_cell": 0.000, "formation_energy_ev_per_fu": -7.54, "n_ef_per_ev_cell": 8.332}

---

Record 5
{"formula": "Pm12InRh7", "functional": "PBE-GGA", "state": "relaxed", "lattice_angstrom": [[9.070, -0.354, -0.532], [-2.862, 8.613, -0.532], [-2.862, -3.808, 7.744]], "species": ["Pm", "Pm", "Pm", "Pm", "Pm", "Pm", "Pm", "Pm", "Pm", "Pm", "Pm", "Pm", "In", "Rh", "Rh", "Rh", "Rh", "Rh", "Rh", "Rh"], "frac_coords": [[0.882, 0.340, 0.734], [0.660, 0.266, 0.118], [0.401, 0.113, 0.316], [0.887, 0.684, 0.599], [0.266, 0.118, 0.660], [0.684, 0.599, 0.887], [0.316, 0.401, 0.113], [0.734, 0.882, 0.340], [0.113, 0.316, 0.401], [0.599, 0.887, 0.684], [0.340, 0.734, 0.882], [0.118, 0.660, 0.266], [0.000, 0.000, 0.000], [0.068, 0.723, 0.967], [0.277, 0.033, 0.932], [0.033, 0.932, 0.277], [0.500, 0.500, 0.500], [0.967, 0.068, 0.723], [0.723, 0.967, 0.068], [0.932, 0.277, 0.033]], "total_magnetization_mub_per_cell": 0.000, "formation_energy_ev_per_fu": -9.98, "n_ef_per_ev_cell": 14.944}

---

Record 6
{"formula": "PmInRuRh", "functional": "PBE-GGA", "state": "relaxed", "lattice_angstrom": [[-3.777, 2.699, 1.025], [-3.878, -0.197, -2.744], [-3.980, -2.010, 1.650]], "species": ["Ru", "In", "Rh", "Pm"], "frac_coords": [[0.750, 0.750, 0.750], [0.000, 0.000, 0.000], [0.250, 0.250, 0.250], [0.500, 0.500, 0.500]], "total_magnetization_mub_per_cell": 0.000, "formation_energy_ev_per_fu": -1.37, "n_ef_per_ev_cell": 3.729}